# 1
# CsNa2Tl9 PBE relaxed
# ΔE_f	-30	meV per atom
# spin magnetization	0.0	μB/cell
# DFT total energy	-2.0956	eV per atom
data_CsNa2Tl9
_symmetry_space_group_name_H-M 'P 1'
_symmetry_Int_Tables_number 1
_symmetry_space_group_name_Hall 'P 1'
_cell_length_a 3.540
_cell_length_b 11.218
_cell_length_c 11.218
_cell_angle_alpha 120.00
_cell_angle_beta 90.00
_cell_angle_gamma 90.00
loop_
_atom_site_label
_atom_site_type_symbol
_atom_site_fract_x
_atom_site_fract_y
_atom_site_fract_z
_atom_site_occupancy
Tl1 Tl 0.500 0.183 0.817 1
Tl2 Tl 0.500 0.817 0.183 1
Tl3 Tl 0.000 0.000 0.500 1
Tl4 Tl 0.500 0.365 0.183 1
Tl5 Tl 0.000 0.500 0.000 1
Tl6 Tl 0.000 0.500 0.500 1
Tl7 Tl 0.500 0.817 0.635 1
Tl8 Tl 0.500 0.635 0.817 1
Tl9 Tl 0.500 0.183 0.365 1
Cs1 Cs 0.000 0.000 0.000 1
Na1 Na 0.000 0.667 0.333 1
Na2 Na 0.000 0.333 0.667 1



# 2
# TiReBiPd2 PBE relaxed
# ΔE_f	1303	meV per atom
# spin magnetization	3.1	μB/cell
# DFT total energy	-5.6194	eV per atom
data_TiReBiPd2
_symmetry_space_group_name_H-M 'P 1'
_symmetry_Int_Tables_number 1
_symmetry_space_group_name_Hall 'P 1'
_cell_length_a 4.633
_cell_length_b 5.214
_cell_length_c 4.633
_cell_angle_alpha 90.00
_cell_angle_beta 90.00
_cell_angle_gamma 90.00
loop_
_atom_site_label
_atom_site_type_symbol
_atom_site_fract_x
_atom_site_fract_y
_atom_site_fract_z
_atom_site_occupancy
Re1 Re 0.500 0.500 0.500 1
Bi1 Bi 0.000 0.500 0.000 1
Pd1 Pd 0.000 0.000 0.500 1
Pd2 Pd 0.500 0.000 0.000 1
Ti1 Ti 0.000 0.000 0.000 1



The highest DFT total energy belongs to which entry?
CsNa2Tl9



Which value of ΔE_f does entry 1 give?
-30 meV per atom